## TiNbAg2Rh (meta-GGA SCAN)

Data for a PBEsol-optimized structure of TiNbAg2Rh. Values from VASP.

**DFT formation energy**: 1.29 eV/atom

Structure (Quantum ESPRESSO input):
```
&SYSTEM
  ibrav = 0, nat = 5, ntyp = 4
/
ATOMIC_SPECIES
Ti 47.87 Ti.upf
Nb 92.91 Nb.upf
Ag 107.87 Ag.upf
Rh 102.91 Rh.upf
ATOMIC_POSITIONS angstrom
Ti 0.000 0.000 0.000
Nb 2.485 2.485 2.270
Ag 0.000 2.485 2.270
Ag 2.485 0.000 2.270
Rh 2.485 2.485 0.000
CELL_PARAMETERS angstrom
4.971 0.000 0.000
0.000 4.971 0.000
0.000 0.000 4.540
```